Record 1
## H5Rh12Se3 (GGA-PBE)

Data for crystalline H5Rh12Se3 at its relaxed geometry.

a = 10.817 Å, b = 10.817 Å, c = 10.817 Å
α = 109.47°, β = 109.47°, γ = 109.47°
Atoms (fractional coordinates):
1 H 0.500 0.000 0.500
2 Se 0.375 0.750 0.625
3 Rh 0.388 0.406 0.090
4 H 0.000 0.500 0.000
5 Rh 0.090 0.183 0.201
6 Rh 0.410 0.112 0.594
7 H 0.000 0.000 0.500
8 Rh 0.799 0.317 0.910
9 H 0.625 0.875 0.250
10 Rh 0.594 0.612 0.410
11 Rh 0.090 0.906 0.388
12 H 0.375 0.125 0.750
13 Rh 0.299 0.888 0.982
14 H 0.500 0.500 0.000
15 Rh 0.701 0.112 0.018
16 Rh 0.982 0.594 0.183
17 H 0.875 0.625 0.750
18 H 0.500 0.000 0.000
19 Rh 0.817 0.910 0.299
20 Rh 0.594 0.982 0.683
21 Rh 0.094 0.910 0.112
22 Rh 0.590 0.701 0.683
23 Rh 0.410 0.299 0.317
24 Rh 0.317 0.799 0.410
25 Rh 0.183 0.094 0.982
26 Se 0.875 0.125 0.250
27 H 0.125 0.750 0.375
28 Rh 0.018 0.612 0.701
29 Rh 0.518 0.201 0.112
30 Se 0.375 0.625 0.250
31 Rh 0.799 0.482 0.388
32 Rh 0.388 0.982 0.799
33 Rh 0.906 0.090 0.888
34 H 0.125 0.375 0.250
35 H 0.000 0.000 0.000
36 Rh 0.482 0.799 0.888
37 Se 0.750 0.375 0.125
38 Rh 0.683 0.201 0.590
39 Se 0.750 0.875 0.625
40 Rh 0.406 0.018 0.317
41 Rh 0.590 0.888 0.406
42 Rh 0.910 0.817 0.799
43 Rh 0.112 0.410 0.094
44 Se 0.250 0.625 0.875
45 Rh 0.406 0.388 0.590
46 Rh 0.018 0.406 0.817
47 Rh 0.094 0.183 0.482
48 Rh 0.482 0.683 0.094
49 Rh 0.701 0.590 0.183
50 H 0.250 0.375 0.625
51 H 0.875 0.250 0.625
52 H 0.750 0.125 0.875
53 H 0.000 0.500 0.500
54 Se 0.625 0.250 0.375
55 Rh 0.683 0.482 0.594
56 Rh 0.910 0.094 0.612
57 Rh 0.817 0.906 0.018
58 Rh 0.906 0.817 0.518
59 Rh 0.518 0.317 0.906
60 Rh 0.201 0.518 0.612
61 H 0.625 0.750 0.875
62 Rh 0.201 0.683 0.090
63 Rh 0.982 0.388 0.299
64 H 0.750 0.625 0.375
65 Se 0.875 0.750 0.125
66 Rh 0.299 0.410 0.817
67 Rh 0.317 0.518 0.406
68 Se 0.125 0.875 0.750
69 H 0.250 0.875 0.125
70 H 0.500 0.500 0.500
71 H 0.375 0.250 0.125
72 Se 0.250 0.125 0.375
73 Se 0.625 0.375 0.750
74 Rh 0.112 0.701 0.518
75 Rh 0.888 0.590 0.906
76 Rh 0.612 0.018 0.201
77 Rh 0.888 0.299 0.482
78 Rh 0.183 0.090 0.701
79 Se 0.125 0.250 0.875
80 Rh 0.612 0.594 0.910

Computed properties:
Mass density, g/cm3: 10.1
Calculated total energy, eV per formula unit: -114.9
Total moment, Bohr magnetons per cell: 0.0
SG: Ia-3d (230)

Record 2
## LiHgH3 (GGA-PBE)

Data for crystalline LiHgH3 at its relaxed geometry.

a = 3.926 Å, b = 3.926 Å, c = 3.926 Å
α = 90.00°, β = 90.00°, γ = 90.00°
Atoms (fractional coordinates):
1 H 0.000 0.500 0.000
2 Hg 0.000 0.000 0.000
3 H 0.000 0.000 0.500
4 Li 0.500 0.500 0.500
5 H 0.500 0.000 0.000

Computed properties:
Mass density, g/cm3: 5.8
E above lowest polymorph, eV/f.u.: 0.000
Total moment, Bohr magnetons per cell: 0.0
SG: Pm-3m (221)

Record 3
## Mg6NiPt5 (GGA-PBE)

Data for crystalline Mg6NiPt5 at its relaxed geometry.

a = 4.235 Å, b = 6.987 Å, c = 6.688 Å
α = 90.00°, β = 108.35°, γ = 90.00°
Atoms (fractional coordinates):
1 Pt 0.337 0.000 0.674
2 Mg 0.834 0.247 0.668
3 Mg 0.166 0.753 0.332
4 Mg 0.500 0.751 0.000
5 Mg 0.166 0.247 0.332
6 Pt 0.667 0.500 0.334
7 Mg 0.500 0.249 0.000
8 Pt 0.663 0.000 0.326
9 Pt 0.000 0.500 0.000
10 Mg 0.834 0.753 0.668
11 Pt 0.333 0.500 0.666
12 Ni 0.000 0.000 0.000

Computed properties:
Mass density, g/cm3: 10.4
Energy relative to the elements, eV per atom: -0.76
Total moment, Bohr magnetons per cell: 0.0
SG: P2/m (10)

Record 4
## PrY2V (GGA-PBE)

Data for crystalline PrY2V at its relaxed geometry.

a = 3.423 Å, b = 3.423 Å, c = 11.790 Å
α = 81.65°, β = 81.65°, γ = 60.00°
Each line ends with the local moment (μB).
Atoms (fractional coordinates):
1 Y 0.080 0.080 0.759  0.03
2 Pr 0.500 0.500 0.500  0.01
3 Y 0.920 0.920 0.241  0.03
4 V 0.000 0.000 0.000  2.62

Computed properties:
Mass density, g/cm3: 5.2
Energy relative to the elements, eV per atom: 0.63
Total moment, Bohr magnetons per cell: 3.1
SG: R-3m (166)

Record 5
## YReAgN2 (GGA-PBE)

Data for crystalline YReAgN2 at its relaxed geometry.

a = 4.329 Å, b = 4.329 Å, c = 5.464 Å
α = 90.00°, β = 90.00°, γ = 90.00°
Each line ends with the local moment (μB).
Atoms (fractional coordinates):
1 Y 0.000 0.000 0.000  0.00
2 Re 0.500 0.500 0.500  3.33
3 N 0.000 0.500 0.000  -0.50
4 N 0.500 0.000 0.000  -0.50
5 Ag 0.000 0.000 0.500  0.02

Computed properties:
Mass density, g/cm3: 6.7
Total moment, Bohr magnetons per cell: 2.6
Raw formation energy, meV per atom: 1934
SG: P4/mmm (123)

Record 6
## Li5ZrTl6 (GGA-PBE)

Data for crystalline Li5ZrTl6 at its relaxed geometry.

a = 4.871 Å, b = 7.022 Å, c = 7.887 Å
α = 90.00°, β = 72.01°, γ = 90.00°
Atoms (fractional coordinates):
1 Li 0.676 0.500 0.648
2 Tl 0.830 0.755 0.340
3 Li 0.343 0.000 0.314
4 Li 0.657 0.000 0.686
5 Tl 0.500 0.729 0.000
6 Tl 0.830 0.245 0.340
7 Li 0.000 0.500 0.000
8 Zr 0.000 0.000 0.000
9 Tl 0.500 0.271 0.000
10 Tl 0.170 0.755 0.660
11 Li 0.324 0.500 0.352
12 Tl 0.170 0.245 0.660

Computed properties:
Mass density, g/cm3: 8.8
Energy relative to the elements, eV per atom: -0.18
Total moment, Bohr magnetons per cell: 0.0
SG: Cmmm (65)